Compound: KMgPt2Au
Source: Alexandria via LeMat-Bulk
Functional: GGA-PBE
Structure: relaxed

Computed properties:
Crystal system: tetragonal
Space-group type: P4/mmm (123)
Calculated volume in Å³ per cell: 121.8
E_form in eV/f.u.: 3.09
Magnetic moment in μB/cell: 0.00
D(E_F) in states/eV/atom: 0.298

a = 4.749 Å, b = 5.400 Å, c = 4.749 Å
α = 90.00°, β = 90.00°, γ = 90.00°
Positions (direct):
Pt1 0.000 0.000 0.500
Mg1 0.000 0.000 0.000
Pt2 0.500 0.000 0.000
K1 0.000 0.500 0.000
Au1 0.500 0.500 0.500